This record from the Alexandria database describes a relaxed structure of VTcN2F. The functional is PBE with a Hubbard U.

Computed properties:
The value obtained for the density of states at the Fermi level is 3.98 states/eV/f.u. As for the symmetry: No. 123. The value obtained for the total energy is -6.7904 eV/atom. As for the excess energy over the best structure of this formula in the dataset: 139 meV/atom. The calculated volume comes out at 61 Å³ per cell.

The structure in extended XYZ format:
```
5
Lattice="3.8864 0.0000 0.0000 0.0000 3.8864 0.0000 0.0000 0.0000 4.0123" Properties=species:S:1:pos:R:3 pbc="T T T"
V 0.0000 0.0000 0.0000
Tc 1.9432 1.9432 2.0061
N 0.0000 1.9432 2.0061
N 1.9432 0.0000 2.0061
F 1.9432 1.9432 0.0000
```